# PBE SnMo2Se4S2, optimized geometry
data_SnMo2Se4S2
_space_group_name_H-M_alt 'P 3 m 1'
_space_group_IT_number 156
_cell_length_a 3.4288
_cell_length_b 3.4288
_cell_length_c 21.3907
_cell_angle_alpha 90.00
_cell_angle_beta 90.00
_cell_angle_gamma 120.00
loop_
_space_group_symop_operation_xyz
'x,y,z'
'-y,x-y,z'
'-x+y,-x,z'
'-y,-x,z'
'-x+y,y,z'
'x,x-y,z'
loop_
_atom_site_label
_atom_site_type_symbol
_atom_site_fract_x
_atom_site_fract_y
_atom_site_fract_z
_atom_site_occupancy
Sn1 Sn 0.0000 0.0000 0.0000 1
Mo1 Mo 0.0000 0.0000 0.6499 1
Mo2 Mo 0.6667 0.3333 0.3204 1
Se1 Se 0.0000 0.0000 0.2438 1
Se2 Se 0.0000 0.0000 0.3970 1
Se3 Se 0.6667 0.3333 0.5734 1
Se4 Se 0.6667 0.3333 0.7265 1
S1 S 0.6667 0.3333 0.0767 1
S2 S 0.6667 0.3333 0.9234 1
# - Size of the total moment: 0.00 μB/atom
# - Energy relative to the elements, uncorrected: -0.45 eV/atom